Computed, not measured: CsLiPb3 after structural relaxation at the PBE level of DFT.

abc: 5.5501 5.5501 5.5501
angles: 90.00 90.00 90.00
With the nearest neighbours (Å) after each atom.
Sites, in units of the cell vectors:
Cs (0.0000, 0.0000, 0.0000)  12 Pb 3.92
Li (0.5000, 0.5000, 0.5000)  6 Pb 2.78
Pb (0.0000, 0.5000, 0.5000)  2 Li 2.78
Pb (0.5000, 0.0000, 0.5000)  2 Li 2.78
Pb (0.5000, 0.5000, 0.0000)  2 Li 2.78

Summary:
VASP energy	-2.74	eV/atom
crystal system	cubic
energy relative to the elements	35	meV/atom